The following is a GGA-PBE calculation of a relaxed ScCd4Hg crystal, from the Alexandria database.

Results
- space-group type = No. 12
- energy relative to the elements (eV per atom) = -0.01
- VASP energy (eV for the cell shown) = -20.693

Unit cell a=5.1826 b=8.2597 c=8.0201 alpha=120.99 beta=101.57 gamma=90.00
Element x y z (fractional)
Cd1 0.5782 0.9483 0.2616
Cd2 0.3011 0.6676 0.3353
Cd3 0.6989 0.3324 0.6647
Cd4 0.5782 0.3133 0.2616
Cd5 0.4218 0.0517 0.7384
Cd6 0.0000 0.8145 0.0000
Cd7 0.0000 0.1855 0.0000
Cd8 0.4218 0.6867 0.7384
Hg1 0.7629 0.5705 0.1410
Hg2 0.2371 0.4295 0.8590
Sc1 0.8705 0.7957 0.5915
Sc2 0.1295 0.2043 0.4085



The following is a GGA-PBE calculation of a relaxed Rb3Tl4Pt4 crystal, from the Alexandria database.

Results
- space-group type = No. 217
- energy relative to the elements (eV per atom) = -0.17
- VASP energy (eV for the cell shown) = -38.356

Unit cell a=7.4351 b=7.4351 c=7.4351 alpha=109.47 beta=109.47 gamma=109.47
Element x y z (fractional)
Tl1 0.4009 0.4009 0.4009
Tl2 0.0000 0.0000 0.5991
Tl3 0.5991 0.0000 0.0000
Tl4 0.0000 0.5991 0.0000
Pt1 0.2350 0.0000 0.0000
Pt2 0.7650 0.7650 0.7650
Pt3 0.0000 0.0000 0.2350
Pt4 0.0000 0.2350 0.0000
Rb1 0.0000 0.5000 0.5000
Rb2 0.5000 0.5000 0.0000
Rb3 0.5000 0.0000 0.5000



The following is a GGA-PBE calculation of a relaxed Sc2Zn2Au crystal, from the Alexandria database.

Results
- space-group type = No. 38
- energy relative to the elements (eV per atom) = -0.46
- VASP energy (eV for the cell shown) = -41.617

Unit cell a=3.2033 b=4.3641 c=13.4476 alpha=90.00 beta=90.00 gamma=90.00
Element x y z (fractional)
Au1 0.5000 0.5000 0.6112
Au2 0.5000 0.0000 0.1112
Sc1 0.0000 0.5000 0.1894
Sc2 0.0000 0.0000 0.9286
Sc3 0.0000 0.0000 0.6894
Sc4 0.0000 0.5000 0.4286
Zn1 0.5000 0.5000 0.0017
Zn2 0.5000 0.0000 0.3113
Zn3 0.5000 0.5000 0.8113
Zn4 0.5000 0.0000 0.5017